{
  "formula": "HfNi2PbO6",
  "functional": "PBE with a Hubbard U",
  "state": "relaxed",
  "energy_ev_per_atom": -6.576,
  "sg": "R3",
  "crystal_system": "trigonal",
  "cell": [[2.673, 1.543, 4.802], [-2.673, 1.543, 4.802], [0.000, -3.087, 4.802]],
  "species": ["Hf", "Ni", "Ni", "Pb", "O", "O", "O", "O", "O", "O"],
  "fractional_positions": [[0.000, 0.000, 0.000], [0.294, 0.294, 0.294], [0.793, 0.793, 0.793], [0.502, 0.502, 0.502], [0.082, 0.701, 0.394], [0.180, 0.594, 0.913], [0.394, 0.082, 0.701], [0.594, 0.913, 0.180], [0.701, 0.394, 0.082], [0.913, 0.180, 0.594]]
}